First-principles (PBE) data for a geometry-optimized RbIn2Ga4 structure, as listed in Alexandria.

Computed properties:
- ρ (g/cm3) = 5.53
- offset from the most stable computed form (meV/atom) = 5.4
- Fermi-level density of states (states/eV/cell) = 1.77

abc: 9.1481 9.1481 9.1481
angles: 151.81 150.38 41.35
Last column: nearest neighbours and their distance in Å.
Element x y z (fractional)
1 Rb 0.0000 0.0000 0.0000  12 Ga 3.50-3.60, 4 In 3.83
2 In 0.1818 0.6818 0.5000  3 Ga 2.71-2.92
3 In 0.8182 0.3182 0.5000  3 Ga 2.71-2.92
4 Ga 0.3401 0.8401 0.5000  2 Ga 2.62, 1 In 2.71
5 Ga 0.4206 0.4206 0.0000  3 Ga 2.62-2.72, 2 In 2.92
6 Ga 0.5794 0.5794 0.0000  3 Ga 2.62-2.72, 2 In 2.92
7 Ga 0.6599 0.1599 0.5000  2 Ga 2.62, 1 In 2.71

---

First-principles (PBE) data for a geometry-optimized V12ZnGe3 structure, as listed in Alexandria.

Computed properties:
- ρ (g/cm3) = 6.87
- Fermi-level density of states (states/eV/cell) = 30.11

abc: 4.7692 4.7732 9.4924
angles: 90.00 90.00 90.00
Last column: nearest neighbours and their distance in Å.
Element x y z (fractional)
1 V 0.0000 0.0000 0.1226  2 V 2.33-2.36
2 V 0.0000 0.0000 0.3715  2 V 2.36-2.44
3 V 0.0000 0.0000 0.6285  2 V 2.36-2.44
4 V 0.0000 0.0000 0.8774  2 V 2.33-2.36
5 V 0.2506 0.5000 0.0000  2 V 2.38-2.39
6 V 0.2517 0.5000 0.5000  2 V 2.37-2.40, 2 Ge 2.65
7 V 0.5000 0.2532 0.2515  2 V 2.36-2.42
8 V 0.5000 0.2532 0.7485  2 V 2.36-2.42
9 V 0.5000 0.7468 0.2515  2 V 2.36-2.42
10 V 0.5000 0.7468 0.7485  2 V 2.36-2.42
11 V 0.7483 0.5000 0.5000  2 V 2.37-2.40, 2 Ge 2.65
12 V 0.7494 0.5000 0.0000  2 V 2.38-2.39
13 Zn 0.5000 0.0000 0.0000  12 V 2.65-2.68
14 Ge 0.0000 0.5000 0.2508  12 V 2.65-2.68
15 Ge 0.0000 0.5000 0.7492  12 V 2.65-2.68
16 Ge 0.5000 0.0000 0.5000  12 V 2.65-2.68

---

First-principles (PBE) data for a geometry-optimized KRb3Nb structure, as listed in Alexandria.

Computed properties:
- ρ (g/cm3) = 1.63
- offset from the most stable computed form (meV/atom) = 372.3
- Fermi-level density of states (states/eV/cell) = 4.02

abc: 7.3355 7.3355 7.3355
angles: 90.00 90.00 90.00
Last column: nearest neighbours and their distance in Å.
Element x y z (fractional)
1 K 0.0000 0.0000 0.0000  6 Rb 3.67
2 Rb 0.0000 0.0000 0.5000  2 K 3.67
3 Rb 0.0000 0.5000 0.0000  2 K 3.67
4 Rb 0.5000 0.0000 0.0000  2 K 3.67
5 Nb 0.5000 0.5000 0.5000  12 Rb 5.19

---

| no. | calculated volume (Å³ per cell) | total DFT energy (no corrections) (eV per atom) |
| --- | --- | --- |
| 1 | 178.4 | -2.69 |
| 2 | 216.1 | -8.02 |
| 3 | 394.7 | -1.46 |